1.
# AcPrSmDy3

A relaxed AcPrSmDy3 crystal (GGA-PBE, Alexandria).

Cell and atoms, written as CIF:
```
data_AcPrSmDy3
_cell_length_a 20.4938
_cell_length_b 5.7314
_cell_length_c 7.2418
_cell_angle_alpha 90.00
_cell_angle_beta 90.07
_cell_angle_gamma 90.00
_space_group_name_H-M_alt 'C 1 2/m 1'
_space_group_IT_number 12
loop_
_space_group_symop_operation_xyz
'x,y,z'
'-x,-y,-z'
'-x,y,-z'
'x,-y,z'
'x+1/2,y+1/2,z'
'-x+1/2,-y+1/2,-z'
'-x+1/2,y+1/2,-z'
'x+1/2,-y+1/2,z'
loop_
_atom_site_label
_atom_site_type_symbol
_atom_site_fract_x
_atom_site_fract_y
_atom_site_fract_z
Ac1 Ac 0.1456 0.0000 0.0335
Pr1 Pr 0.0554 0.5000 0.2805
Sm1 Sm 0.1499 0.0000 0.4747
Dy1 Dy 0.0208 0.0000 0.7317
Dy2 Dy 0.1680 0.5000 0.7344
Dy3 Dy 0.2195 0.5000 0.2530
```

- D(E_F): 1.506 states/eV/atom
- Uncorrected energy: -104.40 eV/cell
- E_form: 127 kJ/mol of formula units



2.
# Ac2Pr2SmDy

A relaxed Ac2Pr2SmDy crystal (GGA-PBE, Alexandria).

Cell and atoms, written as CIF:
```
data_Ac2Pr2SmDy
_cell_length_a 7.3816
_cell_length_b 5.9532
_cell_length_c 10.2680
_cell_angle_alpha 90.00
_cell_angle_beta 90.00
_cell_angle_gamma 90.00
_space_group_name_H-M_alt 'P m m a'
_space_group_IT_number 51
loop_
_space_group_symop_operation_xyz
'x,y,z'
'-x,-y,-z'
'-x+1/2,-y,z'
'x+1/2,y,-z'
'x+1/2,-y,-z'
'-x+1/2,y,z'
'-x,y,-z'
'x,-y,z'
loop_
_atom_site_label
_atom_site_type_symbol
_atom_site_fract_x
_atom_site_fract_y
_atom_site_fract_z
Ac1 Ac 0.0000 0.0000 0.0000
Ac2 Ac 0.2500 0.5000 0.1751
Pr1 Pr 0.2500 0.0000 0.3440
Pr2 Pr 0.2500 0.5000 0.8266
Sm1 Sm 0.0000 0.5000 0.5000
Dy1 Dy 0.2500 0.0000 0.6633
```

- D(E_F): 1.552 states/eV/atom
- Uncorrected energy: -53.26 eV/cell
- E_form: 45 kJ/mol of formula units



3.
# AcPrSmDy2

A relaxed AcPrSmDy2 crystal (GGA-PBE, Alexandria).

Cell and atoms, written as CIF:
```
data_AcPrSmDy2
_cell_length_a 6.5535
_cell_length_b 17.5161
_cell_length_c 6.5546
_cell_angle_alpha 90.00
_cell_angle_beta 90.00
_cell_angle_gamma 90.00
_space_group_name_H-M_alt 'C m c m'
_space_group_IT_number 63
_space_group_name_Hall '-C 2c 2'
loop_
_atom_site_label
_atom_site_type_symbol
_atom_site_fract_x
_atom_site_fract_y
_atom_site_fract_z
Ac1 Ac 0.0000 0.1593 0.2500
Pr1 Pr 0.0000 0.3490 0.2500
Sm1 Sm 0.0000 0.2498 0.7500
Dy1 Dy 0.2489 0.5000 0.0000
```

- D(E_F): 1.732 states/eV/atom
- Uncorrected energy: -83.96 eV/cell
- E_form: 176 kJ/mol of formula units



4.
# AcPr4SmDy2

A relaxed AcPr4SmDy2 crystal (GGA-PBE, Alexandria).

Cell and atoms, written as CIF:
```
data_AcPr4SmDy2
_cell_length_a 11.6705
_cell_length_b 5.2303
_cell_length_c 10.4982
_cell_angle_alpha 90.00
_cell_angle_beta 116.79
_cell_angle_gamma 90.00
_space_group_name_H-M_alt 'C 1 2/m 1'
_space_group_IT_number 12
loop_
_space_group_symop_operation_xyz
'x,y,z'
'-x,-y,-z'
'-x,y,-z'
'x,-y,z'
'x+1/2,y+1/2,z'
'-x+1/2,-y+1/2,-z'
'-x+1/2,y+1/2,-z'
'x+1/2,-y+1/2,z'
loop_
_atom_site_label
_atom_site_type_symbol
_atom_site_fract_x
_atom_site_fract_y
_atom_site_fract_z
Ac1 Ac 0.0000 0.0000 0.0000
Pr1 Pr 0.2475 0.0000 0.8699
Pr2 Pr 0.2489 0.5000 0.6219
Sm1 Sm 0.0000 0.0000 0.5000
Dy1 Dy 0.0009 0.5000 0.7445
```

- D(E_F): 1.599 states/eV/atom
- Uncorrected energy: -73.82 eV/cell
- E_form: 23 kJ/mol of formula units



5.
# AcPr4Sm2Dy

A relaxed AcPr4Sm2Dy crystal (GGA-PBE, Alexandria).

Cell and atoms, written as CIF:
```
data_AcPr4Sm2Dy
_cell_length_a 5.2253
_cell_length_b 5.2566
_cell_length_c 10.4817
_cell_angle_alpha 90.00
_cell_angle_beta 90.00
_cell_angle_gamma 90.00
_space_group_name_H-M_alt 'P m m m'
_space_group_IT_number 47
loop_
_space_group_symop_operation_xyz
'x,y,z'
'-x,-y,-z'
'-x,-y,z'
'x,y,-z'
'x,-y,-z'
'-x,y,z'
'-x,y,-z'
'x,-y,z'
loop_
_atom_site_label
_atom_site_type_symbol
_atom_site_fract_x
_atom_site_fract_y
_atom_site_fract_z
Ac1 Ac 0.0000 0.0000 0.0000
Pr1 Pr 0.0000 0.5000 0.2576
Pr2 Pr 0.5000 0.0000 0.2578
Sm1 Sm 0.0000 0.0000 0.5000
Sm2 Sm 0.5000 0.5000 0.0000
Dy1 Dy 0.5000 0.5000 0.5000
```

- D(E_F): 1.556 states/eV/atom
- Uncorrected energy: -37.09 eV/cell
- E_form: 17 kJ/mol of formula units



6.
# Ac2PrSm5Dy

A relaxed Ac2PrSm5Dy crystal (GGA-PBE, Alexandria).

Cell and atoms, written as CIF:
```
data_Ac2PrSm5Dy
_cell_length_a 5.8501
_cell_length_b 20.5022
_cell_length_c 10.9826
_cell_angle_alpha 90.00
_cell_angle_beta 90.00
_cell_angle_gamma 90.00
_space_group_name_H-M_alt 'C m c 21'
_space_group_IT_number 36
loop_
_space_group_symop_operation_xyz
'x,y,z'
'-x,-y,z+1/2'
'-x,y,z'
'x,-y,z+1/2'
'x+1/2,y+1/2,z'
'-x+1/2,-y+1/2,z+1/2'
'-x+1/2,y+1/2,z'
'x+1/2,-y+1/2,z+1/2'
loop_
_atom_site_label
_atom_site_type_symbol
_atom_site_fract_x
_atom_site_fract_y
_atom_site_fract_z
Ac1 Ac 0.0000 0.1138 0.0000
Ac2 Ac 0.0000 0.1168 0.5884
Pr1 Pr 0.0000 0.4123 0.7320
Sm1 Sm 0.0000 0.0189 0.2924
Sm2 Sm 0.0000 0.2824 0.5809
Sm3 Sm 0.0000 0.2964 0.9750
Sm4 Sm 0.0000 0.3883 0.2896
Sm5 Sm 0.0000 0.4821 0.0099
Dy1 Dy 0.0000 0.2060 0.2797
```

- D(E_F): 1.398 states/eV/atom
- Uncorrected energy: -159.61 eV/cell
- E_form: 125 kJ/mol of formula units



7.
# AcPr6SmDy2

A relaxed AcPr6SmDy2 crystal (GGA-PBE, Alexandria).

Cell and atoms, written as CIF:
```
data_AcPr6SmDy2
_cell_length_a 9.4632
_cell_length_b 15.5853
_cell_length_c 9.9102
_cell_angle_alpha 90.00
_cell_angle_beta 96.56
_cell_angle_gamma 90.00
_space_group_name_H-M_alt 'C 1 2/c 1'
_space_group_IT_number 15
loop_
_space_group_symop_operation_xyz
'x,y,z'
'-x,-y,-z'
'-x,y,-z+1/2'
'x,-y,z+1/2'
'x+1/2,y+1/2,z'
'-x+1/2,-y+1/2,-z'
'-x+1/2,y+1/2,-z+1/2'
'x+1/2,-y+1/2,z+1/2'
loop_
_atom_site_label
_atom_site_type_symbol
_atom_site_fract_x
_atom_site_fract_y
_atom_site_fract_z
Ac1 Ac 0.0000 0.0286 0.2500
Pr1 Pr 0.0653 0.1823 0.9461
Pr2 Pr 0.0984 0.3926 0.1189
Pr3 Pr 0.2164 0.2282 0.3178
Sm1 Sm 0.0000 0.4099 0.7500
Dy1 Dy 0.2460 0.4468 0.4528
```

- D(E_F): 1.456 states/eV/atom
- Uncorrected energy: -182.22 eV/cell
- E_form: 111 kJ/mol of formula units



8.
# AcPr2SmDy5

A relaxed AcPr2SmDy5 crystal (GGA-PBE, Alexandria).

Cell and atoms, written as CIF:
```
data_AcPr2SmDy5
_cell_length_a 8.8512
_cell_length_b 8.8512
_cell_length_c 15.8179
_cell_angle_alpha 90.00
_cell_angle_beta 90.00
_cell_angle_gamma 90.00
_space_group_name_H-M_alt 'I 4/m c m'
_space_group_IT_number 140
_space_group_name_Hall '-I 4 2c'
loop_
_atom_site_label
_atom_site_type_symbol
_atom_site_fract_x
_atom_site_fract_y
_atom_site_fract_z
Ac1 Ac 0.0000 0.0000 0.2500
Pr1 Pr 0.1179 0.3821 0.0000
Sm1 Sm 0.0000 0.5000 0.2500
Dy1 Dy 0.0000 0.0000 0.0000
Dy2 Dy 0.2070 0.2930 0.3660
```

- D(E_F): 1.059 states/eV/atom
- Uncorrected energy: -156.71 eV/cell
- E_form: 214 kJ/mol of formula units



9.
# AcPrSmDy

A relaxed AcPrSmDy crystal (GGA-PBE, Alexandria).

Cell and atoms, written as CIF:
```
data_AcPrSmDy
_cell_length_a 5.2613
_cell_length_b 5.2613
_cell_length_c 10.5500
_cell_angle_alpha 90.00
_cell_angle_beta 90.00
_cell_angle_gamma 90.00
_space_group_name_H-M_alt 'I -4 m 2'
_space_group_IT_number 119
_space_group_name_Hall 'I -4 -2'
loop_
_atom_site_label
_atom_site_type_symbol
_atom_site_fract_x
_atom_site_fract_y
_atom_site_fract_z
Ac1 Ac 0.0000 0.0000 0.0000
Pr1 Pr 0.0000 0.5000 0.2500
Sm1 Sm 0.0000 0.5000 0.7500
Dy1 Dy 0.0000 0.0000 0.5000
```

- D(E_F): 1.732 states/eV/atom
- Uncorrected energy: -36.04 eV/cell
- E_form: 18 kJ/mol of formula units



10.
# AcPr6Sm2Dy

A relaxed AcPr6Sm2Dy crystal (GGA-PBE, Alexandria).

Cell and atoms, written as CIF:
```
data_AcPr6Sm2Dy
_cell_length_a 9.4411
_cell_length_b 15.6970
_cell_length_c 9.9128
_cell_angle_alpha 90.00
_cell_angle_beta 96.45
_cell_angle_gamma 90.00
_space_group_name_H-M_alt 'C 1 2/c 1'
_space_group_IT_number 15
loop_
_space_group_symop_operation_xyz
'x,y,z'
'-x,-y,-z'
'-x,y,-z+1/2'
'x,-y,z+1/2'
'x+1/2,y+1/2,z'
'-x+1/2,-y+1/2,-z'
'-x+1/2,y+1/2,-z+1/2'
'x+1/2,-y+1/2,z+1/2'
loop_
_atom_site_label
_atom_site_type_symbol
_atom_site_fract_x
_atom_site_fract_y
_atom_site_fract_z
Ac1 Ac 0.0000 0.0240 0.2500
Pr1 Pr 0.0621 0.1870 0.9464
Pr2 Pr 0.1021 0.3942 0.1177
Pr3 Pr 0.2135 0.2257 0.3129
Sm1 Sm 0.2443 0.4448 0.4542
Dy1 Dy 0.0000 0.4110 0.7500
```

- D(E_F): 1.468 states/eV/atom
- Uncorrected energy: -182.74 eV/cell
- E_form: 110 kJ/mol of formula units



- E_form of number 9 (AcPrSmDy)?
  18 kJ/mol of formula units